Record 1
Material: AcPr5YTm2
Method: DFT, PBE
State: optimized geometry

Structure (POSCAR):
```
AcPr5YTm2
1.0
-5.440 1.291 0.153
2.133 -4.491 11.481
2.188 8.858 3.059
Y Pr Tm Ac
2 10 4 2
Direct
0.231 0.462 0.030 Y
0.769 0.538 0.530 Y
0.009 0.018 0.542 Pr
0.607 0.214 0.534 Pr
0.393 0.786 0.034 Pr
0.991 0.982 0.042 Pr
0.741 0.481 0.852 Pr
0.475 0.950 0.756 Pr
0.525 0.050 0.256 Pr
0.687 0.375 0.225 Pr
0.259 0.519 0.352 Pr
0.313 0.625 0.725 Pr
0.825 0.649 0.168 Tm
0.888 0.776 0.793 Tm
0.175 0.351 0.668 Tm
0.112 0.224 0.293 Tm
0.603 0.206 0.924 Ac
0.397 0.794 0.424 Ac
```

Output
- crystal system = orthorhombic
- DFT formation energy (eV/atom) = 0.15
- DOS(E_F) (states/eV/atom) = 1.310



Record 2
Material: LaTb5Y8
Method: DFT, PBE
State: optimized geometry

Structure (POSCAR):
```
LaTb5Y8
1.0
-5.372 -2.595 6.037
5.129 -6.266 -2.543
4.349 6.387 3.510
Tb Y La
5 8 1
Direct
0.861 0.901 0.185 Tb
0.815 0.677 0.716 Tb
0.039 0.323 0.139 Tb
0.284 0.099 0.961 Tb
0.500 0.000 0.500 Tb
0.717 0.248 0.324 Y
0.170 0.743 0.079 Y
0.573 0.910 0.830 Y
0.921 0.090 0.663 Y
0.531 0.607 0.283 Y
0.676 0.393 0.924 Y
0.076 0.752 0.469 Y
0.337 0.257 0.427 Y
0.250 0.500 0.750 La
```

Output
- crystal system = tetragonal
- DFT formation energy (eV/atom) = 0.24
- DOS(E_F) (states/eV/atom) = 1.588